First-principles (PBE+U) data for an optimized crystal structure of SmMn4O8, as listed in Alexandria via LeMat-Bulk.

The value obtained for the total DFT energy (no corrections) is -196.25 eV per cell. Its volume is 13.806 Å³ per atom. The value obtained for the size of the total moment is 1.15 μB per atom.

It has space group C2/m (No. 12), with a = 11.054 Å, b = 5.798 Å, c = 7.406 Å, α = 90.00°, β = 130.86° and γ = 90.00°. The distinct sites, in fractional coordinates, are Sm at (0.000, 0.000, 0.000), Mn at (0.000, 0.252, 0.500), Mn at (0.231, 0.500, 0.468), O at (0.002, 0.500, 0.326), O at (0.010, 0.000, 0.332) and O at (0.221, 0.236, 0.297).